Material: RbDyP2Pd4
Method: DFT, PBE
State: relaxed

Structure (CIF):
```
data_RbDyP2Pd4
_chemical_formula_sum 'Rb1 Dy1 P2 Pd4'
_cell_length_a 4.148
_cell_length_b 4.148
_cell_length_c 10.650
_cell_angle_alpha 90.00
_cell_angle_beta 90.00
_cell_angle_gamma 90.00
_symmetry_space_group_name_H-M 'P 4/m m m'
_symmetry_Int_Tables_number 123
_symmetry_space_group_name_Hall '-P 4 2'
loop_
_atom_site_label
_atom_site_fract_x
_atom_site_fract_y
_atom_site_fract_z
Rb1 0.000 0.000 0.000
Dy1 0.000 0.000 0.500
P1 0.500 0.500 0.206
Pd1 0.000 0.500 0.307
```

Computed properties:
M_tot: 0.0 μB/f.u.
DFT total energy: -41.87 eV/cell